Na2InMoO4: relaxed, PBE+U.

As for the crystal system: monoclinic. The total energy is -0.2095 Ha/atom.

The space group is P2/m (No. 10) and the conventional cell measures 5.6751, 3.2845 and 5.7950 Å, with angles of 90.00, 109.08 and 90.00 degrees. The asymmetric unit holds Na at (0.0000, 0.0000, 0.0000), Na at (0.5000, 0.5000, 0.0000), In at (0.0000, 0.5000, 0.5000), Mo at (0.5000, 0.0000, 0.5000), O at (0.2413, 0.0000, 0.7128) and O at (0.2681, 0.5000, 0.2913).